<P>
# AlCdCu (PBE-GGA, optimized geometry)
# Space group: P3m1
data_AlCdCu
_chemical_formula_sum 'Al1 Cd1 Cu1'
_symmetry_space_group_name_H-M 'P 1'
_symmetry_Int_Tables_number 1
_cell_length_a 2.996
_cell_length_b 2.996
_cell_length_c 6.529
_cell_angle_alpha 90.00
_cell_angle_beta 90.00
_cell_angle_gamma 120.00
loop_
_symmetry_equiv_pos_as_xyz
'x,y,z'
loop_
_atom_site_label
_atom_site_type_symbol
_atom_site_fract_x
_atom_site_fract_y
_atom_site_fract_z
Al1 Al 0.000 0.000 0.000
Cd1 Cd 0.667 0.333 0.374
Cu1 Cu 0.333 0.667 0.715



<Q>
# AlCdCu (PBE-GGA, optimized geometry)
# Space group: F-43m
data_AlCdCu
_chemical_formula_sum 'Al1 Cd1 Cu1'
_symmetry_space_group_name_H-M 'P 1'
_symmetry_Int_Tables_number 1
_cell_length_a 4.287
_cell_length_b 4.287
_cell_length_c 4.287
_cell_angle_alpha 60.00
_cell_angle_beta 60.00
_cell_angle_gamma 60.00
loop_
_symmetry_equiv_pos_as_xyz
'x,y,z'
loop_
_atom_site_label
_atom_site_type_symbol
_atom_site_fract_x
_atom_site_fract_y
_atom_site_fract_z
Al1 Al 0.000 0.000 0.000
Cd1 Cd 0.500 0.500 0.500
Cu1 Cu 0.750 0.750 0.750



<R>
# AlCdCu (PBE-GGA, optimized geometry)
# Space group: R-3m
data_AlCdCu
_chemical_formula_sum 'Al2 Cd2 Cu2'
_symmetry_space_group_name_H-M 'P 1'
_symmetry_Int_Tables_number 1
_cell_length_a 7.683
_cell_length_b 7.683
_cell_length_c 7.683
_cell_angle_alpha 31.64
_cell_angle_beta 31.64
_cell_angle_gamma 31.64
loop_
_symmetry_equiv_pos_as_xyz
'x,y,z'
loop_
_atom_site_label
_atom_site_type_symbol
_atom_site_fract_x
_atom_site_fract_y
_atom_site_fract_z
Al1 Al 0.128 0.128 0.128
Al2 Al 0.872 0.872 0.872
Cd1 Cd 0.373 0.373 0.373
Cd2 Cd 0.627 0.627 0.627
Cu1 Cu 0.241 0.241 0.241
Cu2 Cu 0.759 0.759 0.759



<S>
# AlCdCu (PBE-GGA, optimized geometry)
# Space group: P3m1
data_AlCdCu
_chemical_formula_sum 'Al1 Cd1 Cu1'
_symmetry_space_group_name_H-M 'P 1'
_symmetry_Int_Tables_number 1
_cell_length_a 4.379
_cell_length_b 4.379
_cell_length_c 3.083
_cell_angle_alpha 90.00
_cell_angle_beta 90.00
_cell_angle_gamma 120.00
loop_
_symmetry_equiv_pos_as_xyz
'x,y,z'
loop_
_atom_site_label
_atom_site_type_symbol
_atom_site_fract_x
_atom_site_fract_y
_atom_site_fract_z
Al1 Al 0.000 0.000 0.000
Cd1 Cd 0.333 0.667 0.502
Cu1 Cu 0.667 0.333 0.004



What should be chosen as the most stable of them? Choose <R>.



<P>
# AlCdCu3 (PBE-GGA, optimized geometry)
# Space group: Pm-3m
data_AlCdCu3
_chemical_formula_sum 'Al1 Cd1 Cu3'
_symmetry_space_group_name_H-M 'P 1'
_symmetry_Int_Tables_number 1
_cell_length_a 4.784
_cell_length_b 4.784
_cell_length_c 4.784
_cell_angle_alpha 90.00
_cell_angle_beta 90.00
_cell_angle_gamma 90.00
loop_
_symmetry_equiv_pos_as_xyz
'x,y,z'
loop_
_atom_site_label
_atom_site_type_symbol
_atom_site_fract_x
_atom_site_fract_y
_atom_site_fract_z
Al1 Al 0.000 0.000 0.000
Cd1 Cd 0.500 0.500 0.500
Cu1 Cu 0.000 0.500 0.500
Cu2 Cu 0.500 0.000 0.500
Cu3 Cu 0.500 0.500 0.000



<Q>
# AlCdCu3 (PBE-GGA, optimized geometry)
# Space group: Pm-3m
data_AlCdCu3
_chemical_formula_sum 'Al1 Cd1 Cu3'
_symmetry_space_group_name_H-M 'P 1'
_symmetry_Int_Tables_number 1
_cell_length_a 4.516
_cell_length_b 4.516
_cell_length_c 4.516
_cell_angle_alpha 90.00
_cell_angle_beta 90.00
_cell_angle_gamma 90.00
loop_
_symmetry_equiv_pos_as_xyz
'x,y,z'
loop_
_atom_site_label
_atom_site_type_symbol
_atom_site_fract_x
_atom_site_fract_y
_atom_site_fract_z
Al1 Al 0.000 0.000 0.000
Cd1 Cd 0.500 0.500 0.500
Cu1 Cu 0.000 0.000 0.500
Cu2 Cu 0.000 0.500 0.000
Cu3 Cu 0.500 0.000 0.000



What should be chosen as the most stable of them? Choose <Q>.



<P>
# Al2Cd2Cu (PBE-GGA, optimized geometry)
# Space group: P4/mbm
data_Al2Cd2Cu
_chemical_formula_sum 'Al4 Cd4 Cu2'
_symmetry_space_group_name_H-M 'P 1'
_symmetry_Int_Tables_number 1
_cell_length_a 6.565
_cell_length_b 6.565
_cell_length_c 4.432
_cell_angle_alpha 90.00
_cell_angle_beta 90.00
_cell_angle_gamma 90.00
loop_
_symmetry_equiv_pos_as_xyz
'x,y,z'
loop_
_atom_site_label
_atom_site_type_symbol
_atom_site_fract_x
_atom_site_fract_y
_atom_site_fract_z
Al1 Al 0.147 0.353 0.000
Al2 Al 0.353 0.853 0.000
Al3 Al 0.647 0.147 0.000
Al4 Al 0.853 0.647 0.000
Cd1 Cd 0.166 0.666 0.500
Cd2 Cd 0.334 0.166 0.500
Cd3 Cd 0.666 0.834 0.500
Cd4 Cd 0.834 0.334 0.500
Cu1 Cu 0.000 0.000 0.000
Cu2 Cu 0.500 0.500 0.000



<Q>
# Al2Cd2Cu (PBE-GGA, optimized geometry)
# Space group: P4/mbm
data_Al2Cd2Cu
_chemical_formula_sum 'Al4 Cd4 Cu2'
_symmetry_space_group_name_H-M 'P 1'
_symmetry_Int_Tables_number 1
_cell_length_a 6.947
_cell_length_b 6.947
_cell_length_c 4.147
_cell_angle_alpha 90.00
_cell_angle_beta 90.00
_cell_angle_gamma 90.00
loop_
_symmetry_equiv_pos_as_xyz
'x,y,z'
loop_
_atom_site_label
_atom_site_type_symbol
_atom_site_fract_x
_atom_site_fract_y
_atom_site_fract_z
Al1 Al 0.151 0.349 0.000
Al2 Al 0.349 0.849 0.000
Al3 Al 0.651 0.151 0.000
Al4 Al 0.849 0.651 0.000
Cd1 Cd 0.154 0.654 0.500
Cd2 Cd 0.346 0.154 0.500
Cd3 Cd 0.654 0.846 0.500
Cd4 Cd 0.846 0.346 0.500
Cu1 Cu 0.000 0.000 0.500
Cu2 Cu 0.500 0.500 0.500



What should be chosen as the most stable of them? Choose <P>.



<P>
# AlCd3Cu (PBE-GGA, optimized geometry)
# Space group: Pm-3m
data_AlCd3Cu
_chemical_formula_sum 'Al1 Cd3 Cu1'
_symmetry_space_group_name_H-M 'P 1'
_symmetry_Int_Tables_number 1
_cell_length_a 5.195
_cell_length_b 5.195
_cell_length_c 5.195
_cell_angle_alpha 90.00
_cell_angle_beta 90.00
_cell_angle_gamma 90.00
loop_
_symmetry_equiv_pos_as_xyz
'x,y,z'
loop_
_atom_site_label
_atom_site_type_symbol
_atom_site_fract_x
_atom_site_fract_y
_atom_site_fract_z
Al1 Al 0.000 0.000 0.000
Cd1 Cd 0.000 0.000 0.500
Cd2 Cd 0.000 0.500 0.000
Cd3 Cd 0.500 0.000 0.000
Cu1 Cu 0.500 0.500 0.500



<Q>
# AlCd3Cu (PBE-GGA, optimized geometry)
# Space group: Pm-3m
data_AlCd3Cu
_chemical_formula_sum 'Al1 Cd3 Cu1'
_symmetry_space_group_name_H-M 'P 1'
_symmetry_Int_Tables_number 1
_cell_length_a 4.997
_cell_length_b 4.997
_cell_length_c 4.997
_cell_angle_alpha 90.00
_cell_angle_beta 90.00
_cell_angle_gamma 90.00
loop_
_symmetry_equiv_pos_as_xyz
'x,y,z'
loop_
_atom_site_label
_atom_site_type_symbol
_atom_site_fract_x
_atom_site_fract_y
_atom_site_fract_z
Al1 Al 0.000 0.000 0.000
Cd1 Cd 0.000 0.500 0.500
Cd2 Cd 0.500 0.000 0.500
Cd3 Cd 0.500 0.500 0.000
Cu1 Cu 0.500 0.500 0.500



What should be chosen as the most stable of them? Choose <Q>.



<P>
# AlCd2Cu2 (PBE-GGA, optimized geometry)
# Space group: P4/mbm
data_AlCd2Cu2
_chemical_formula_sum 'Al2 Cd4 Cu4'
_symmetry_space_group_name_H-M 'P 1'
_symmetry_Int_Tables_number 1
_cell_length_a 7.922
_cell_length_b 7.922
_cell_length_c 2.826
_cell_angle_alpha 90.00
_cell_angle_beta 90.00
_cell_angle_gamma 90.00
loop_
_symmetry_equiv_pos_as_xyz
'x,y,z'
loop_
_atom_site_label
_atom_site_type_symbol
_atom_site_fract_x
_atom_site_fract_y
_atom_site_fract_z
Al1 Al 0.000 0.000 0.000
Al2 Al 0.500 0.500 0.000
Cd1 Cd 0.131 0.369 0.000
Cd2 Cd 0.369 0.869 0.000
Cd3 Cd 0.631 0.131 0.000
Cd4 Cd 0.869 0.631 0.000
Cu1 Cu 0.168 0.668 0.500
Cu2 Cu 0.332 0.168 0.500
Cu3 Cu 0.668 0.832 0.500
Cu4 Cu 0.832 0.332 0.500



<Q>
# AlCd2Cu2 (PBE-GGA, optimized geometry)
# Space group: P4/mbm
data_AlCd2Cu2
_chemical_formula_sum 'Al2 Cd4 Cu4'
_symmetry_space_group_name_H-M 'P 1'
_symmetry_Int_Tables_number 1
_cell_length_a 6.451
_cell_length_b 6.451
_cell_length_c 4.131
_cell_angle_alpha 90.00
_cell_angle_beta 90.00
_cell_angle_gamma 90.00
loop_
_symmetry_equiv_pos_as_xyz
'x,y,z'
loop_
_atom_site_label
_atom_site_type_symbol
_atom_site_fract_x
_atom_site_fract_y
_atom_site_fract_z
Al1 Al 0.000 0.000 0.000
Al2 Al 0.500 0.500 0.000
Cd1 Cd 0.166 0.334 0.500
Cd2 Cd 0.334 0.834 0.500
Cd3 Cd 0.666 0.166 0.500
Cd4 Cd 0.834 0.666 0.500
Cu1 Cu 0.138 0.638 0.000
Cu2 Cu 0.362 0.138 0.000
Cu3 Cu 0.638 0.862 0.000
Cu4 Cu 0.862 0.362 0.000



What should be chosen as the most stable of them? Choose <Q>.



<P>
# Dy4AlCd (PBE-GGA, optimized geometry)
# Space group: R-3m
data_Dy4AlCd
_chemical_formula_sum 'Dy4 Al1 Cd1'
_symmetry_space_group_name_H-M 'P 1'
_symmetry_Int_Tables_number 1
_cell_length_a 8.851
_cell_length_b 8.851
_cell_length_c 8.851
_cell_angle_alpha 33.30
_cell_angle_beta 33.30
_cell_angle_gamma 33.30
loop_
_symmetry_equiv_pos_as_xyz
'x,y,z'
loop_
_atom_site_label
_atom_site_type_symbol
_atom_site_fract_x
_atom_site_fract_y
_atom_site_fract_z
Dy1 Dy 0.122 0.122 0.122
Dy2 Dy 0.373 0.373 0.373
Dy3 Dy 0.627 0.627 0.627
Dy4 Dy 0.878 0.878 0.878
Al1 Al 0.000 0.000 0.000
Cd1 Cd 0.500 0.500 0.500



<Q>
# Dy4AlCd (PBE-GGA, optimized geometry)
# Space group: C2/m
data_Dy4AlCd
_chemical_formula_sum 'Dy4 Al1 Cd1'
_symmetry_space_group_name_H-M 'P 1'
_symmetry_Int_Tables_number 1
_cell_length_a 7.092
_cell_length_b 7.092
_cell_length_c 7.073
_cell_angle_alpha 104.42
_cell_angle_beta 104.42
_cell_angle_gamma 28.51
loop_
_symmetry_equiv_pos_as_xyz
'x,y,z'
loop_
_atom_site_label
_atom_site_type_symbol
_atom_site_fract_x
_atom_site_fract_y
_atom_site_fract_z
Dy1 Dy 0.152 0.152 0.333
Dy2 Dy 0.153 0.153 0.820
Dy3 Dy 0.847 0.847 0.180
Dy4 Dy 0.848 0.848 0.667
Al1 Al 0.500 0.500 0.500
Cd1 Cd 0.500 0.500 0.000



What should be chosen as the most stable of them? Choose <Q>.